## CrSbTe2Ir (GGA-PBEsol)

Data for a geometry-optimized CrSbTe2Ir structure.

Structure (POSCAR):
```
CrSbTe2Ir
1.0
4.832 0.000 0.000
0.000 4.832 0.000
0.000 0.000 4.831
Cr Sb Te Ir
1 1 2 1
direct
0.000 0.000 0.000
0.000 0.000 0.500
0.000 0.500 0.000
0.500 0.000 0.000
0.500 0.500 0.500
```

Properties
crystal system	tetragonal
E_tot	-5.29	eV per atom
volume	22.56	A^3/atom